(1)
Material: Ho3CuGe
Method: DFT, PBE-GGA
State: relaxed

Output
M_tot: 0.0 μB/f.u.
DFT total energy: -4.895 eV per atom

CIF file:
```
data_Ho3CuGe
_cell_length_a 4.231
_cell_length_b 7.256
_cell_length_c 8.239
_cell_angle_alpha 92.67
_cell_angle_beta 90.02
_cell_angle_gamma 106.93
_symmetry_space_group_name_H-M 'P -1'
_symmetry_Int_Tables_number 2
loop_
_symmetry_equiv_pos_as_xyz
'x,y,z'
'-x,-y,-z'
loop_
_atom_site_label
_atom_site_type_symbol
_atom_site_fract_x
_atom_site_fract_y
_atom_site_fract_z
Ho1 Ho 0.051 0.102 0.306
Ho2 Ho 0.239 0.477 0.684
Ho3 Ho 0.397 0.792 0.073
Cu1 Cu 0.204 0.409 0.066
Ge1 Ge 0.404 0.808 0.439
```



(2)
Material: Ho2CuGe6
Method: DFT, PBE-GGA
State: relaxed

Output
M_tot: 0.0 μB/f.u.
DFT total energy: -4.963 eV per atom

CIF file:
```
data_Ho2CuGe6
_cell_length_a 4.081
_cell_length_b 4.052
_cell_length_c 21.335
_cell_angle_alpha 90.00
_cell_angle_beta 90.00
_cell_angle_gamma 90.00
_symmetry_space_group_name_H-M 'A m m 2'
_symmetry_Int_Tables_number 38
loop_
_symmetry_equiv_pos_as_xyz
'x,y,z'
'-x,-y,z'
'-x,y,z'
'x,-y,z'
'x,y+1/2,z+1/2'
'-x,-y+1/2,z+1/2'
'-x,y+1/2,z+1/2'
'x,-y+1/2,z+1/2'
loop_
_atom_site_label
_atom_site_type_symbol
_atom_site_fract_x
_atom_site_fract_y
_atom_site_fract_z
Ho1 Ho 0.000 0.000 0.000
Ho2 Ho 0.000 0.000 0.337
Cu1 Cu 0.500 0.000 0.781
Ge1 Ge 0.000 0.000 0.602
Ge2 Ge 0.000 0.000 0.720
Ge3 Ge 0.500 0.000 0.102
Ge4 Ge 0.500 0.000 0.220
Ge5 Ge 0.500 0.000 0.463
Ge6 Ge 0.500 0.000 0.890
```



(3)
Material: Ho2CuGe
Method: DFT, PBE-GGA
State: relaxed

Output
M_tot: 0.0 μB/f.u.
DFT total energy: -4.952 eV per atom

CIF file:
```
data_Ho2CuGe
_cell_length_a 4.864
_cell_length_b 4.864
_cell_length_c 3.631
_cell_angle_alpha 90.00
_cell_angle_beta 90.00
_cell_angle_gamma 90.00
_symmetry_space_group_name_H-M 'P 4/m m m'
_symmetry_Int_Tables_number 123
_symmetry_space_group_name_Hall '-P 4 2'
loop_
_atom_site_label
_atom_site_type_symbol
_atom_site_fract_x
_atom_site_fract_y
_atom_site_fract_z
Ho1 Ho 0.000 0.500 0.000
Cu1 Cu 0.000 0.000 0.500
Ge1 Ge 0.500 0.500 0.500
```



(4)
Material: HoCu3Ge3
Method: DFT, PBE-GGA
State: relaxed

Output
M_tot: 0.0 μB/f.u.
DFT total energy: -4.220 eV per atom

CIF file:
```
data_HoCu3Ge3
_cell_length_a 6.574
_cell_length_b 6.574
_cell_length_c 6.574
_cell_angle_alpha 90.00
_cell_angle_beta 90.00
_cell_angle_gamma 90.00
_symmetry_space_group_name_H-M 'P m -3 n'
_symmetry_Int_Tables_number 223
_symmetry_space_group_name_Hall '-P 4n 2 3'
loop_
_atom_site_label
_atom_site_type_symbol
_atom_site_fract_x
_atom_site_fract_y
_atom_site_fract_z
Ho1 Ho 0.000 0.000 0.000
Cu1 Cu 0.000 0.250 0.500
Ge1 Ge 0.000 0.500 0.250
```